No. 1
## CsSn4Hg (GGA-PBE)

Data for crystalline CsSn4Hg at its relaxed geometry.

Properties
Space group: F-43m, No. 216
Mass density: 6.9 g cm⁻³
DFT formation energy: 0.045 eV per atom
Calculated volume: 194 Å³/cell

a b c (Å): 6.4958 6.4958 6.4958
angles (deg): 60.00 60.00 60.00
Fractional coordinates of all 6 atoms:
Cs  0.0000  0.0000  0.0000
Sn  0.1280  0.6240  0.6240
Sn  0.6240  0.1280  0.6240
Sn  0.6240  0.6240  0.1280
Sn  0.6240  0.6240  0.6240
Hg  0.2500  0.2500  0.2500

No. 2
## CsSn8Hg2 (GGA-PBE)

Data for crystalline CsSn8Hg2 at its relaxed geometry.

Properties
Space group: P-1, No. 2
Mass density: 7.2 g cm⁻³
DFT formation energy: -0.041 eV per atom
Calculated volume: 340 Å³/cell

a b c (Å): 5.2191 5.3450 12.4717
angles (deg): 102.27 90.13 90.17
Fractional coordinates of all 11 atoms:
Cs  0.0000  0.0000  0.0000
Sn  0.0028  0.1971  0.3988
Sn  0.0079  0.6293  0.2608
Sn  0.4942  0.4395  0.8760
Sn  0.4979  0.8745  0.7442
Sn  0.5021  0.1255  0.2558
Sn  0.5058  0.5605  0.1240
Sn  0.9921  0.3707  0.7392
Sn  0.9972  0.8029  0.6012
Hg  0.4958  0.2860  0.5705
Hg  0.5042  0.7140  0.4295

No. 3
## Cs2SnHg2 (GGA-PBE)

Data for crystalline Cs2SnHg2 at its relaxed geometry.

Properties
Space group: P4/mbm, No. 127
Mass density: 6.4 g cm⁻³
Excess energy over the best structure of this formula in the dataset: 0.075 eV per atom
DFT formation energy: -0.156 eV per atom
Calculated volume: 406 Å³/cell

a b c (Å): 8.1337 8.1337 6.1294
angles (deg): 90.00 90.00 90.00
Fractional coordinates of all 10 atoms:
Cs  0.1756  0.3244  0.0000
Cs  0.3244  0.8244  0.0000
Cs  0.6756  0.1756  0.0000
Cs  0.8244  0.6756  0.0000
Sn  0.0000  0.0000  0.5000
Sn  0.5000  0.5000  0.5000
Hg  0.1429  0.6429  0.5000
Hg  0.3571  0.1429  0.5000
Hg  0.6429  0.8571  0.5000
Hg  0.8571  0.3571  0.5000

No. 4
## Cs2Sn4Hg5 (GGA-PBE)

Data for crystalline Cs2Sn4Hg5 at its relaxed geometry.

Properties
Space group: C2/m, No. 12
Mass density: 6.7 g cm⁻³
DFT formation energy: -0.115 eV per atom
Calculated volume: 429 Å³/cell

a b c (Å): 8.1771 8.1771 10.3505
angles (deg): 126.70 126.70 58.32
Fractional coordinates of all 11 atoms:
Cs  0.2407  0.2407  0.1828
Cs  0.7593  0.7593  0.8172
Sn  0.1140  0.1140  0.6964
Sn  0.2868  0.2868  0.6188
Sn  0.7132  0.7132  0.3812
Sn  0.8860  0.8860  0.3036
Hg  0.2038  0.7139  0.6827
Hg  0.2861  0.7962  0.3173
Hg  0.5000  0.5000  0.0000
Hg  0.7139  0.2038  0.6827
Hg  0.7962  0.2861  0.3173

No. 5
## Cs2Sn2Hg (GGA-PBE)

Data for crystalline Cs2Sn2Hg at its relaxed geometry.

Properties
Space group: P4/mbm, No. 127
Mass density: 4.9 g cm⁻³
Excess energy over the best structure of this formula in the dataset: 0.136 eV per atom
DFT formation energy: -0.033 eV per atom
Calculated volume: 481 Å³/cell

a b c (Å): 11.4332 11.4332 3.6768
angles (deg): 90.00 90.00 90.00
Fractional coordinates of all 10 atoms:
Cs  0.2049  0.2951  0.0000
Cs  0.2951  0.7951  0.0000
Cs  0.7049  0.2049  0.0000
Cs  0.7951  0.7049  0.0000
Sn  0.0866  0.5866  0.5000
Sn  0.4134  0.0866  0.5000
Sn  0.5866  0.9134  0.5000
Sn  0.9134  0.4134  0.5000
Hg  0.0000  0.0000  0.0000
Hg  0.5000  0.5000  0.0000

No. 6
## Cs3Sn2Hg4 (GGA-PBE)

Data for crystalline Cs3Sn2Hg4 at its relaxed geometry.

Properties
Space group: C2/c, No. 15
Mass density: 6.0 g cm⁻³
DFT formation energy: -0.206 eV per atom
Calculated volume: 797 Å³/cell

a b c (Å): 9.7869 9.7869 9.0028
angles (deg): 101.81 101.81 72.79
Fractional coordinates of all 18 atoms:
Cs  0.0533  0.9467  0.7500
Cs  0.2479  0.5307  0.4042
Cs  0.4693  0.7521  0.0958
Cs  0.5307  0.2479  0.9042
Cs  0.7521  0.4693  0.5958
Cs  0.9467  0.0533  0.2500
Sn  0.0217  0.3432  0.9506
Sn  0.3432  0.0217  0.4506
Sn  0.6568  0.9783  0.5494
Sn  0.9783  0.6568  0.0494
Hg  0.1707  0.2558  0.6595
Hg  0.1934  0.5575  0.8167
Hg  0.2558  0.1707  0.1595
Hg  0.4425  0.8066  0.6833
Hg  0.5575  0.1934  0.3167
Hg  0.7442  0.8293  0.8405
Hg  0.8066  0.4425  0.1833
Hg  0.8293  0.7442  0.3405

No. 7
## Cs2Sn2Hg (GGA-PBE)

Data for crystalline Cs2Sn2Hg at its relaxed geometry.

Properties
Space group: P4/mbm, No. 127
Mass density: 4.9 g cm⁻³
Excess energy over the best structure of this formula in the dataset: 0.129 eV per atom
DFT formation energy: -0.040 eV per atom
Calculated volume: 476 Å³/cell

a b c (Å): 11.3578 11.3578 3.6872
angles (deg): 90.00 90.00 90.00
Fractional coordinates of all 10 atoms:
Cs  0.2047  0.2953  0.0000
Cs  0.2953  0.7953  0.0000
Cs  0.7047  0.2047  0.0000
Cs  0.7953  0.7047  0.0000
Sn  0.0873  0.5873  0.5000
Sn  0.4127  0.0873  0.5000
Sn  0.5873  0.9127  0.5000
Sn  0.9127  0.4127  0.5000
Hg  0.0000  0.0000  0.5000
Hg  0.5000  0.5000  0.5000

No. 8
## CsTcSn2Hg (GGA-PBE)

Data for crystalline CsTcSn2Hg at its relaxed geometry.

Properties
Space group: P4/mmm, No. 123
Mass density: 7.3 g cm⁻³
DFT formation energy: -0.016 eV per atom
Calculated volume: 153 Å³/cell

a b c (Å): 5.2103 5.2103 5.6433
angles (deg): 90.00 90.00 90.00
Fractional coordinates of all 5 atoms:
Cs  0.0000  0.0000  0.0000
Tc  0.5000  0.5000  0.5000
Sn  0.0000  0.5000  0.5000
Sn  0.5000  0.0000  0.5000
Hg  0.5000  0.5000  0.0000

No. 9
## Cs2SnHgTe (GGA-PBE)

Data for crystalline Cs2SnHgTe at its relaxed geometry.

Properties
Space group: P4/mmm, No. 123
Mass density: 3.7 g cm⁻³
Raw formation energy: -0.164 eV per atom
Calculated volume: 316 Å³/cell

a b c (Å): 7.3771 7.3771 5.8120
angles (deg): 90.00 90.00 90.00
Fractional coordinates of all 5 atoms:
Cs  0.0000  0.5000  0.0000
Cs  0.5000  0.0000  0.0000
Sn  0.0000  0.0000  0.0000
Hg  0.5000  0.5000  0.5000
Te  0.0000  0.0000  0.5000

No. 10
## CsSnHg2Te4 (GGA-PBE)

Data for crystalline CsSnHg2Te4 at its relaxed geometry.

Properties
Space group: I222, No. 23
Mass density: 5.6 g cm⁻³
Raw formation energy: -0.333 eV per atom
Calculated volume: 345 Å³/cell

a b c (Å): 7.7635 7.7635 7.7635
angles (deg): 122.65 106.13 100.53
Fractional coordinates of all 8 atoms:
Cs  0.0000  0.0000  0.0000
Sn  0.5000  0.5000  0.0000
Hg  0.3297  0.8297  0.5000
Hg  0.6703  0.1703  0.5000
Te  0.1408  0.1041  0.5950
Te  0.4908  0.8959  0.0366
Te  0.5092  0.5458  0.4050
Te  0.8592  0.4542  0.9634

No. 11
## Cs2SnHg2Te4 (GGA-PBE)

Data for crystalline Cs2SnHg2Te4 at its relaxed geometry.

Properties
Space group: C2/m, No. 12
Mass density: 6.1 g cm⁻³
Raw formation energy: -0.535 eV per atom
Calculated volume: 356 Å³/cell

a b c (Å): 9.0731 9.0731 8.9480
angles (deg): 107.81 107.81 30.61
Fractional coordinates of all 9 atoms:
Cs  0.1314  0.1314  0.0702
Cs  0.8686  0.8686  0.9298
Sn  0.0000  0.0000  0.5000
Hg  0.3361  0.3361  0.5273
Hg  0.6639  0.6639  0.4727
Te  0.1968  0.1968  0.6717
Te  0.4922  0.4922  0.7430
Te  0.5078  0.5078  0.2570
Te  0.8032  0.8032  0.3283

No. 12
## Cs2SnHgTe4 (GGA-PBE)

Data for crystalline Cs2SnHgTe4 at its relaxed geometry.

Properties
Space group: Fddd, No. 70
Mass density: 4.8 g cm⁻³
Raw formation energy: -0.567 eV per atom
Calculated volume: 754 Å³/cell

a b c (Å): 15.6155 14.0172 8.5485
angles (deg): 83.84 63.18 32.98
Fractional coordinates of all 16 atoms:
Cs  0.0586  0.0586  0.6914
Cs  0.3086  0.3086  0.9414
Cs  0.6914  0.6914  0.0586
Cs  0.9414  0.9414  0.3086
Sn  0.3750  0.3750  0.3750
Sn  0.6250  0.6250  0.6250
Hg  0.1250  0.1250  0.1250
Hg  0.8750  0.8750  0.8750
Te  0.0207  0.3435  0.4339
Te  0.2981  0.5661  0.6565
Te  0.3435  0.0207  0.7019
Te  0.4339  0.7019  0.0207
Te  0.5661  0.2981  0.9793
Te  0.6565  0.9793  0.2981
Te  0.7019  0.4339  0.3435
Te  0.9793  0.6565  0.5661

No. 13
## CsTlSnHg (GGA-PBE)

Data for crystalline CsTlSnHg at its relaxed geometry.

Properties
Space group: F-43m, No. 216
Mass density: 7.9 g cm⁻³
DFT formation energy: -0.016 eV per atom
Calculated volume: 137 Å³/cell

a b c (Å): 5.7894 5.7894 5.7894
angles (deg): 60.00 60.00 60.00
Fractional coordinates of all 4 atoms:
Cs  0.0000  0.0000  0.0000
Tl  0.2500  0.2500  0.2500
Sn  0.5000  0.5000  0.5000
Hg  0.7500  0.7500  0.7500

No. 14
## Cs2Tl4SnHg3 (GGA-PBE)

Data for crystalline Cs2Tl4SnHg3 at its relaxed geometry.

Properties
Space group: P-4m2, No. 115
Mass density: 8.1 g cm⁻³
DFT formation energy: -0.123 eV per atom
Calculated volume: 369 Å³/cell

a b c (Å): 5.3678 5.3678 12.8197
angles (deg): 90.00 90.00 90.00
Fractional coordinates of all 10 atoms:
Cs  0.0000  0.5000  0.2467
Cs  0.5000  0.0000  0.7533
Tl  0.0000  0.0000  0.5000
Tl  0.0000  0.5000  0.8749
Tl  0.5000  0.0000  0.1251
Tl  0.5000  0.5000  0.5000
Sn  0.5000  0.5000  0.0000
Hg  0.0000  0.0000  0.0000
Hg  0.0000  0.5000  0.6292
Hg  0.5000  0.0000  0.3708

No. 15
## CsTlSnHg2 (GGA-PBE)

Data for crystalline CsTlSnHg2 at its relaxed geometry.

Properties
Space group: P4/mmm, No. 123
Mass density: 6.6 g cm⁻³
DFT formation energy: -0.031 eV per atom
Calculated volume: 215 Å³/cell

a b c (Å): 6.0497 6.0497 5.8873
angles (deg): 90.00 90.00 90.00
Fractional coordinates of all 5 atoms:
Cs  0.0000  0.0000  0.0000
Tl  0.5000  0.5000  0.0000
Sn  0.5000  0.5000  0.5000
Hg  0.0000  0.5000  0.5000
Hg  0.5000  0.0000  0.5000

No. 16
## CsZnSnHg2 (GGA-PBE)

Data for crystalline CsZnSnHg2 at its relaxed geometry.

Properties
Space group: P4/mmm, No. 123
Mass density: 7.0 g cm⁻³
Excess energy over the best structure of this formula in the dataset: 0.012 eV per atom
DFT formation energy: 0.002 eV per atom
Calculated volume: 171 Å³/cell

a b c (Å): 5.7078 5.7078 5.2386
angles (deg): 90.00 90.00 90.00
Fractional coordinates of all 5 atoms:
Cs  0.0000  0.0000  0.0000
Zn  0.5000  0.5000  0.5000
Sn  0.5000  0.5000  0.0000
Hg  0.0000  0.5000  0.5000
Hg  0.5000  0.0000  0.5000

No. 17
## CsZnSnHg2 (GGA-PBE)

Data for crystalline CsZnSnHg2 at its relaxed geometry.

Properties
Space group: P4/mmm, No. 123
Mass density: 6.2 g cm⁻³
Excess energy over the best structure of this formula in the dataset: 0.000 eV per atom
DFT formation energy: -0.011 eV per atom
Calculated volume: 194 Å³/cell

a b c (Å): 6.0616 6.0616 5.2715
angles (deg): 90.00 90.00 90.00
Fractional coordinates of all 5 atoms:
Cs  0.0000  0.0000  0.0000
Zn  0.5000  0.5000  0.0000
Sn  0.5000  0.5000  0.5000
Hg  0.0000  0.5000  0.5000
Hg  0.5000  0.0000  0.5000

No. 18
## Cs2ZnSnHg (GGA-PBE)

Data for crystalline Cs2ZnSnHg at its relaxed geometry.

Properties
Space group: P4/mmm, No. 123
Mass density: 4.2 g cm⁻³
Excess energy over the best structure of this formula in the dataset: 0.000 eV per atom
DFT formation energy: -0.025 eV per atom
Calculated volume: 258 Å³/cell

a b c (Å): 7.1588 7.1588 5.0376
angles (deg): 90.00 90.00 90.00
Fractional coordinates of all 5 atoms:
Cs  0.0000  0.5000  0.0000
Cs  0.5000  0.0000  0.0000
Zn  0.0000  0.0000  0.0000
Sn  0.0000  0.0000  0.5000
Hg  0.5000  0.5000  0.5000

No. 19
## Cs2SrHg (GGA-PBE)

Data for crystalline Cs2SrHg at its relaxed geometry.

Properties
Space group: I-42d, No. 122
Mass density: 3.2 g cm⁻³
Excess energy over the best structure of this formula in the dataset: 0.000 eV per atom
DFT formation energy: 0.006 eV per atom
Calculated volume: 582 Å³/cell

a b c (Å): 9.9092 9.9092 9.9092
angles (deg): 96.55 96.55 140.51
Fractional coordinates of all 8 atoms:
Cs  0.0031  0.6250  0.8781
Cs  0.3750  0.2531  0.3781
Cs  0.7469  0.1250  0.1219
Cs  0.8750  0.9969  0.6219
Sr  0.2500  0.7500  0.5000
Sr  0.5000  0.5000  0.0000
Hg  0.0000  0.0000  0.0000
Hg  0.7500  0.2500  0.5000

No. 20
## Cs2SrHg (GGA-PBE)

Data for crystalline Cs2SrHg at its relaxed geometry.

Properties
Space group: Fm-3m, No. 225
Mass density: 3.4 g cm⁻³
Excess energy over the best structure of this formula in the dataset: 0.125 eV per atom
DFT formation energy: 0.131 eV per atom
Calculated volume: 274 Å³/cell

a b c (Å): 7.2943 7.2943 7.2943
angles (deg): 60.00 60.00 60.00
Fractional coordinates of all 4 atoms:
Cs  0.2500  0.2500  0.2500
Cs  0.7500  0.7500  0.7500
Sr  0.0000  0.0000  0.0000
Hg  0.5000  0.5000  0.5000

No. 21
## Cs12Sr3Hg5 (GGA-PBE)

Data for crystalline Cs12Sr3Hg5 at its relaxed geometry.

Properties
Space group: Ia-3d, No. 230
Mass density: 2.6 g cm⁻³
DFT formation energy: 0.091 eV per atom
Calculated volume: 7176 Å³/cell

a b c (Å): 21.0456 21.0456 21.0456
angles (deg): 109.47 109.47 109.47
Fractional coordinates of all 80 atoms:
Cs  0.0249  0.2017  0.1074
Cs  0.0249  0.3232  0.9175
Cs  0.0825  0.6074  0.4057
Cs  0.0825  0.9751  0.6768
Cs  0.0943  0.7017  0.6768
Cs  0.0943  0.8926  0.4175
Cs  0.1074  0.0249  0.2017
Cs  0.1074  0.5825  0.9057
Cs  0.1768  0.2017  0.5943
Cs  0.1768  0.4751  0.5825
Cs  0.2017  0.1074  0.0249
Cs  0.2017  0.5943  0.1768
Cs  0.2983  0.3232  0.9057
Cs  0.2983  0.4751  0.3926
Cs  0.3232  0.9057  0.2983
Cs  0.3232  0.9175  0.0249
Cs  0.3926  0.2983  0.4751
Cs  0.3926  0.5943  0.9175
Cs  0.4057  0.0825  0.6074
Cs  0.4057  0.8232  0.7983
Cs  0.4175  0.0943  0.8926
Cs  0.4175  0.8232  0.5249
Cs  0.4751  0.3926  0.2983
Cs  0.4751  0.5825  0.1768
Cs  0.5249  0.4175  0.8232
Cs  0.5249  0.6074  0.7017
Cs  0.5825  0.1768  0.4751
Cs  0.5825  0.9057  0.1074
Cs  0.5943  0.1768  0.2017
Cs  0.5943  0.9175  0.3926
Cs  0.6074  0.4057  0.0825
Cs  0.6074  0.7017  0.5249
Cs  0.6768  0.0825  0.9751
Cs  0.6768  0.0943  0.7017
Cs  0.7017  0.5249  0.6074
Cs  0.7017  0.6768  0.0943
Cs  0.7983  0.4057  0.8232
Cs  0.7983  0.8926  0.9751
Cs  0.8232  0.5249  0.4175
Cs  0.8232  0.7983  0.4057
Cs  0.8926  0.4175  0.0943
Cs  0.8926  0.9751  0.7983
Cs  0.9057  0.1074  0.5825
Cs  0.9057  0.2983  0.3232
Cs  0.9175  0.0249  0.3232
Cs  0.9175  0.3926  0.5943
Cs  0.9751  0.6768  0.0825
Cs  0.9751  0.7983  0.8926
Sr  0.1250  0.2500  0.3750
Sr  0.1250  0.3750  0.7500
Sr  0.2500  0.3750  0.1250
Sr  0.2500  0.8750  0.6250
Sr  0.3750  0.1250  0.2500
Sr  0.3750  0.7500  0.1250
Sr  0.6250  0.2500  0.8750
Sr  0.6250  0.8750  0.7500
Sr  0.7500  0.1250  0.3750
Sr  0.7500  0.6250  0.8750
Sr  0.8750  0.6250  0.2500
Sr  0.8750  0.7500  0.6250
Hg  0.0000  0.0000  0.0000
Hg  0.0000  0.0000  0.5000
Hg  0.0000  0.5000  0.0000
Hg  0.0000  0.5000  0.5000
Hg  0.1250  0.7500  0.8750
Hg  0.1250  0.8750  0.2500
Hg  0.2500  0.1250  0.8750
Hg  0.2500  0.6250  0.3750
Hg  0.3750  0.2500  0.6250
Hg  0.3750  0.6250  0.7500
Hg  0.5000  0.0000  0.0000
Hg  0.5000  0.0000  0.5000
Hg  0.5000  0.5000  0.0000
Hg  0.5000  0.5000  0.5000
Hg  0.6250  0.3750  0.2500
Hg  0.6250  0.7500  0.3750
Hg  0.7500  0.3750  0.6250
Hg  0.7500  0.8750  0.1250
Hg  0.8750  0.1250  0.7500
Hg  0.8750  0.2500  0.1250